Entry from Alexandria: a relaxed BeNiGe2 crystal (PBE). Values from VASP.

Calculated values
**Energy relative to the elements**: 0.15 eV/atom
**SG**: No. 122
**Crystal system**: tetragonal
**DOS at the Fermi energy**: 4.25 states/eV/cell

```
&SYSTEM
  ibrav = 0, nat = 8, ntyp = 3
/
ATOMIC_SPECIES
Be 9.01 Be.upf
Ni 58.69 Ni.upf
Ge 72.64 Ge.upf
ATOMIC_POSITIONS crystal
Be 0.0000 0.0000 0.0000
Be 0.7500 0.2500 0.5000
Ni 0.2500 0.7500 0.5000
Ni 0.5000 0.5000 0.0000
Ge 0.1233 0.6250 0.9983
Ge 0.3750 0.3733 0.4983
Ge 0.6267 0.1250 0.0017
Ge 0.8750 0.8767 0.5017
CELL_PARAMETERS angstrom
-1.9359 1.9359 7.7468
1.9359 -1.9359 7.7468
1.9359 1.9359 -7.7468
```


Entry from Alexandria: a relaxed Ga2Si3Pd8 crystal (PBE). Values from VASP.

Calculated values
**Total DFT energy (no corrections)**: -5.329 eV/atom
**SG**: No. 12
**Crystal system**: monoclinic
**DOS at the Fermi energy**: 4.98 states/eV/cell

```
&SYSTEM
  ibrav = 0, nat = 13, ntyp = 3
/
ATOMIC_SPECIES
Ga 69.72 Ga.upf
Si 28.09 Si.upf
Pd 106.42 Pd.upf
ATOMIC_POSITIONS crystal
Ga 0.2243 0.2243 0.3262
Ga 0.7757 0.7757 0.6738
Si 0.0000 0.0000 0.5000
Si 0.1942 0.8058 0.0000
Si 0.8058 0.1942 0.0000
Pd 0.1620 0.1620 0.8318
Pd 0.1894 0.5937 0.5930
Pd 0.3983 0.3983 0.1012
Pd 0.4063 0.8106 0.4070
Pd 0.5937 0.1894 0.5930
Pd 0.6017 0.6017 0.8988
Pd 0.8106 0.4063 0.4070
Pd 0.8380 0.8380 0.1682
CELL_PARAMETERS angstrom
5.8306 -3.4063 0.0000
5.8306 3.4063 0.0000
-0.7174 0.0000 5.1758
```


Entry from Alexandria: a relaxed PrGePtRh crystal (PBE). Values from VASP.

Calculated values
**Energy relative to the elements**: -0.70 eV/atom
**SG**: No. 44
**Crystal system**: orthorhombic
**DOS at the Fermi energy**: 2.24 states/eV/cell

```
&SYSTEM
  ibrav = 0, nat = 4, ntyp = 4
/
ATOMIC_SPECIES
Pr 140.91 Pr.upf
Ge 72.64 Ge.upf
Pt 195.08 Pt.upf
Rh 102.91 Rh.upf
ATOMIC_POSITIONS crystal
Pr 0.0000 0.0000 0.0000
Ge 0.7478 0.2478 0.5000
Pt 0.3693 0.3693 0.0000
Rh 0.6266 0.6266 0.0000
CELL_PARAMETERS angstrom
-2.0381 2.0942 5.1353
2.0381 -2.0942 5.1353
2.0381 2.0942 -5.1353
```


Entry from Alexandria: a relaxed Pu8Pd2Rh3 crystal (PBE). Values from VASP.

Calculated values
**Energy above the most stable polymorph in this dataset**: 279 meV per atom
**Energy relative to the elements**: 0.03 eV/atom
**SG**: No. 12
**Crystal system**: monoclinic
**DOS at the Fermi energy**: 32.71 states/eV/cell

```
&SYSTEM
  ibrav = 0, nat = 13, ntyp = 3
/
ATOMIC_SPECIES
Pu 244.00 Pu.upf
Pd 106.42 Pd.upf
Rh 102.91 Rh.upf
ATOMIC_POSITIONS crystal
Pu 0.0272 0.0272 0.1703
Pu 0.0745 0.4982 0.6292
Pu 0.3560 0.3560 0.2386
Pu 0.4982 0.0745 0.6292
Pu 0.5018 0.9255 0.3708
Pu 0.6440 0.6440 0.7614
Pu 0.9255 0.5018 0.3708
Pu 0.9728 0.9728 0.8297
Pd 0.2351 0.2351 0.9296
Pd 0.7649 0.7649 0.0704
Rh 0.2357 0.7643 0.5000
Rh 0.5000 0.5000 0.0000
Rh 0.7643 0.2357 0.5000
CELL_PARAMETERS angstrom
5.3564 -2.7858 0.0000
5.3564 2.7858 0.0000
-0.4215 0.0000 8.6214
```


Entry from Alexandria: a relaxed GaCu2Pd5 crystal (PBE). Values from VASP.

Calculated values
**Energy above the most stable polymorph in this dataset**: 0 meV per atom
**Energy relative to the elements**: -0.32 eV/atom
**SG**: No. 55
**Crystal system**: orthorhombic
**DOS at the Fermi energy**: 6.17 states/eV/cell

```
&SYSTEM
  ibrav = 0, nat = 16, ntyp = 3
/
ATOMIC_SPECIES
Ga 69.72 Ga.upf
Cu 63.55 Cu.upf
Pd 106.42 Pd.upf
ATOMIC_POSITIONS crystal
Ga 0.0000 0.0000 0.0000
Ga 0.5000 0.5000 0.0000
Cu 0.1693 0.3653 0.5000
Cu 0.3307 0.8653 0.5000
Cu 0.6693 0.1347 0.5000
Cu 0.8307 0.6347 0.5000
Pd 0.0000 0.5000 0.0000
Pd 0.0997 0.7622 0.0000
Pd 0.1777 0.1111 0.5000
Pd 0.3223 0.6111 0.5000
Pd 0.4003 0.2622 0.0000
Pd 0.5000 0.0000 0.0000
Pd 0.5997 0.7378 0.0000
Pd 0.6777 0.3889 0.5000
Pd 0.8223 0.8889 0.5000
Pd 0.9003 0.2378 0.0000
CELL_PARAMETERS angstrom
5.3602 0.0000 0.0000
0.0000 10.4455 0.0000
0.0000 0.0000 4.1331
```


Entry from Alexandria: a relaxed SrMg2As crystal (PBE). Values from VASP.

Calculated values
**Energy relative to the elements**: -0.39 eV/atom
**SG**: No. 8
**Crystal system**: monoclinic
**DOS at the Fermi energy**: 1.53 states/eV/cell

```
&SYSTEM
  ibrav = 0, nat = 4, ntyp = 3
/
ATOMIC_SPECIES
Sr 87.62 Sr.upf
Mg 24.30 Mg.upf
As 74.92 As.upf
ATOMIC_POSITIONS crystal
Sr 0.0000 0.0000 0.0000
Mg 0.2157 0.2157 0.6448
Mg 0.4622 0.4622 0.4002
As 0.7536 0.7536 0.2779
CELL_PARAMETERS angstrom
3.8525 -2.1713 0.0000
3.8525 2.1713 0.0000
-2.3980 0.0000 6.9857
```


Entry from Alexandria: a relaxed RbI2O crystal (PBE). Values from VASP.

Calculated values
**Energy above the most stable polymorph in this dataset**: 0 meV per atom
**SG**: No. 141
**Crystal system**: tetragonal
**DOS at the Fermi energy**: 0.11 states/eV/cell

```
&SYSTEM
  ibrav = 0, nat = 8, ntyp = 3
/
ATOMIC_SPECIES
Rb 85.47 Rb.upf
I 126.90 I.upf
O 16.00 O.upf
ATOMIC_POSITIONS crystal
Rb 0.3750 0.6250 0.7500
Rb 0.6250 0.3750 0.2500
I 0.0000 0.0000 0.0000
I 0.0000 0.0000 0.5000
I 0.0000 0.5000 0.0000
I 0.5000 0.0000 0.5000
O 0.1250 0.8750 0.2500
O 0.8750 0.1250 0.7500
CELL_PARAMETERS angstrom
-3.7454 3.7454 5.7116
3.7454 -3.7454 5.7116
3.7454 3.7454 -5.7116
```


Entry from Alexandria: a relaxed Li2MoIr2 crystal (PBE). Values from VASP.

Calculated values
**Energy relative to the elements**: 0.09 eV/atom
**SG**: No. 127
**Crystal system**: tetragonal
**DOS at the Fermi energy**: 10.35 states/eV/cell

```
&SYSTEM
  ibrav = 0, nat = 10, ntyp = 3
/
ATOMIC_SPECIES
Li 6.94 Li.upf
Mo 95.94 Mo.upf
Ir 192.22 Ir.upf
ATOMIC_POSITIONS crystal
Li 0.1046 0.3954 0.0000
Li 0.3954 0.8954 0.0000
Li 0.6046 0.1046 0.0000
Li 0.8954 0.6046 0.0000
Mo 0.0000 0.0000 0.0000
Mo 0.5000 0.5000 0.0000
Ir 0.1960 0.6960 0.5000
Ir 0.3040 0.1960 0.5000
Ir 0.6960 0.8040 0.5000
Ir 0.8040 0.3040 0.5000
CELL_PARAMETERS angstrom
6.7660 0.0000 0.0000
0.0000 6.7660 0.0000
0.0000 0.0000 2.8147
```


Entry from Alexandria: a relaxed Ho6InBi2 crystal (PBE). Values from VASP.

Calculated values
**Energy relative to the elements**: -0.37 eV/atom
**SG**: No. 14
**Crystal system**: monoclinic
**DOS at the Fermi energy**: 17.36 states/eV/cell

```
&SYSTEM
  ibrav = 0, nat = 18, ntyp = 3
/
ATOMIC_SPECIES
Ho 164.93 Ho.upf
In 114.82 In.upf
Bi 208.98 Bi.upf
ATOMIC_POSITIONS crystal
Ho 0.0783 0.0454 0.2279
Ho 0.0783 0.4546 0.7279
Ho 0.1635 0.7113 0.0506
Ho 0.1635 0.7887 0.5506
Ho 0.4050 0.1549 0.0393
Ho 0.4050 0.3451 0.5393
Ho 0.5950 0.6549 0.4607
Ho 0.5950 0.8451 0.9607
Ho 0.8365 0.2113 0.4494
Ho 0.8365 0.2887 0.9494
Ho 0.9217 0.5454 0.2721
Ho 0.9217 0.9546 0.7721
In 0.5000 0.0000 0.5000
In 0.5000 0.5000 0.0000
Bi 0.3456 0.1094 0.7347
Bi 0.3456 0.3906 0.2347
Bi 0.6544 0.6094 0.7653
Bi 0.6544 0.8906 0.2653
CELL_PARAMETERS angstrom
6.3228 0.0000 0.0000
0.0000 8.3563 0.0000
-6.1358 0.0000 10.3000
```


Entry from Alexandria: a relaxed Na2In4Pd crystal (PBE). Values from VASP.

Calculated values
**Energy above the most stable polymorph in this dataset**: 16 meV per atom
**Energy relative to the elements**: -0.03 eV/atom
**SG**: No. 65
**Crystal system**: orthorhombic
**DOS at the Fermi energy**: 2.84 states/eV/cell

```
&SYSTEM
  ibrav = 0, nat = 7, ntyp = 3
/
ATOMIC_SPECIES
Na 22.99 Na.upf
In 114.82 In.upf
Pd 106.42 Pd.upf
ATOMIC_POSITIONS crystal
Na 0.1421 0.8579 0.0000
Na 0.8579 0.1421 0.0000
In 0.2950 0.7050 0.5000
In 0.4030 0.5970 0.0000
In 0.5970 0.4030 0.0000
In 0.7050 0.2950 0.5000
Pd 0.5000 0.5000 0.5000
CELL_PARAMETERS angstrom
3.0232 -7.2069 0.0000
3.0232 7.2069 0.0000
0.0000 0.0000 4.8496
```


Entry from Alexandria: a relaxed CoAs2Rh2 crystal (PBE). Values from VASP.

Calculated values
**Energy above the most stable polymorph in this dataset**: 298 meV per atom
**Energy relative to the elements**: 0.29 eV/atom
**SG**: No. 139
**Crystal system**: tetragonal
**DOS at the Fermi energy**: 5.41 states/eV/cell

```
&SYSTEM
  ibrav = 0, nat = 5, ntyp = 3
/
ATOMIC_SPECIES
Co 58.93 Co.upf
As 74.92 As.upf
Rh 102.91 Rh.upf
ATOMIC_POSITIONS crystal
Co 0.0000 0.0000 0.0000
As 0.2500 0.7500 0.5000
As 0.7500 0.2500 0.5000
Rh 0.3861 0.3861 0.0000
Rh 0.6139 0.6139 0.0000
CELL_PARAMETERS angstrom
-1.9232 1.9232 5.6946
1.9232 -1.9232 5.6946
1.9232 1.9232 -5.6946
```


Entry from Alexandria: a relaxed TbNd2SmEr5 crystal (PBE). Values from VASP.

Calculated values
**Energy relative to the elements**: 0.26 eV/atom
**SG**: No. 140
**Crystal system**: tetragonal
**DOS at the Fermi energy**: 20.20 states/eV/cell

```
&SYSTEM
  ibrav = 0, nat = 18, ntyp = 4
/
ATOMIC_SPECIES
Tb 158.93 Tb.upf
Nd 144.24 Nd.upf
Sm 150.36 Sm.upf
Er 167.26 Er.upf
ATOMIC_POSITIONS crystal
Tb 0.2500 0.2500 0.0000
Tb 0.7500 0.7500 0.0000
Nd 0.1180 0.6180 0.7361
Nd 0.3820 0.1180 0.5000
Nd 0.6180 0.8820 0.5000
Nd 0.8820 0.3820 0.2639
Sm 0.2500 0.7500 0.5000
Sm 0.7500 0.2500 0.5000
Er 0.0000 0.0000 0.0000
Er 0.0712 0.1499 0.5000
Er 0.1499 0.6499 0.0787
Er 0.3501 0.4288 0.5000
Er 0.4288 0.9288 0.0787
Er 0.5000 0.5000 0.0000
Er 0.5712 0.0712 0.9213
Er 0.6499 0.5712 0.5000
Er 0.8501 0.3501 0.9213
Er 0.9288 0.8501 0.5000
CELL_PARAMETERS angstrom
-4.3030 4.3030 7.8134
4.3030 -4.3030 7.8134
4.3030 4.3030 -7.8134
```


> Which formula does entry 9 have?

Ho6InBi2


Copy entry 10 word for word.
Entry from Alexandria: a relaxed Na2In4Pd crystal (PBE). Values from VASP.

Calculated values
**Energy above the most stable polymorph in this dataset**: 16 meV per atom
**Energy relative to the elements**: -0.03 eV/atom
**SG**: No. 65
**Crystal system**: orthorhombic
**DOS at the Fermi energy**: 2.84 states/eV/cell

```
&SYSTEM
  ibrav = 0, nat = 7, ntyp = 3
/
ATOMIC_SPECIES
Na 22.99 Na.upf
In 114.82 In.upf
Pd 106.42 Pd.upf
ATOMIC_POSITIONS crystal
Na 0.1421 0.8579 0.0000
Na 0.8579 0.1421 0.0000
In 0.2950 0.7050 0.5000
In 0.4030 0.5970 0.0000
In 0.5970 0.4030 0.0000
In 0.7050 0.2950 0.5000
Pd 0.5000 0.5000 0.5000
CELL_PARAMETERS angstrom
3.0232 -7.2069 0.0000
3.0232 7.2069 0.0000
0.0000 0.0000 4.8496
```